Entry 1:
12
Lattice="2.671 1.542 8.719 -2.671 1.542 8.719 0.000 -3.084 8.719" Properties=species:S:1:pos:R:3 comment="PBE Tb3HoRh8, optimized geometry" density_g_cm3=11.3 formation_enthalpy_0k_mev_per_atom=-745.4 total_magnetization_mub_per_fu=0.00 final_energy_ev_per_cell=-86.2 crystal_system=trigonal pbc="T T T"
Tb 0.000 0.000 0.000
Tb 0.000 0.000 3.279
Tb 0.000 0.000 13.085
Ho 0.000 0.000 16.359
Rh -1.336 -0.772 10.355
Rh 0.000 -1.543 6.007
Rh -1.336 0.771 6.007
Rh 0.000 0.000 8.180
Rh 1.336 -0.772 10.355
Rh 1.336 0.771 6.007
Rh 0.000 1.543 10.355
Rh 0.000 0.000 21.260



Entry 2:
12
Lattice="2.648 1.529 8.808 -2.648 1.529 8.808 0.000 -3.058 8.808" Properties=species:S:1:pos:R:3 comment="PBE CaZn3Cu2, optimized geometry" density_g_cm3=5.6 formation_enthalpy_0k_mev_per_atom=-34.6 total_magnetization_mub_per_fu=0.00 final_energy_ev_per_cell=-28.4 crystal_system=trigonal pbc="T T T"
Ca 0.000 0.000 5.106
Ca 0.000 0.000 21.318
Zn 0.000 -1.517 10.932
Zn -1.314 0.759 10.932
Zn -1.314 -0.759 15.491
Zn 1.314 0.759 10.933
Zn 1.314 -0.759 15.491
Zn 0.000 1.517 15.491
Cu 0.000 0.000 0.000
Cu -1.324 -0.764 8.808
Cu -1.324 0.764 17.616
Cu 0.000 1.529 8.808



Entry 3:
4
Lattice="3.284 0.000 0.000 0.000 3.284 0.000 0.000 0.000 6.157" Properties=species:S:1:pos:R:3 comment="PBE Sc2NiP, optimized geometry" density_g_cm3=4.5 formation_enthalpy_0k_mev_per_atom=-764.1 total_magnetization_mub_per_fu=0.00 final_energy_ev_per_cell=-26.9 crystal_system=tetragonal pbc="T T T"
Sc 0.000 0.000 1.513
Sc 0.000 0.000 4.644
Ni 1.642 1.642 3.079
P 1.642 1.642 0.000



Please write out number 2 again, unchanged.
12
Lattice="2.648 1.529 8.808 -2.648 1.529 8.808 0.000 -3.058 8.808" Properties=species:S:1:pos:R:3 comment="PBE CaZn3Cu2, optimized geometry" density_g_cm3=5.6 formation_enthalpy_0k_mev_per_atom=-34.6 total_magnetization_mub_per_fu=0.00 final_energy_ev_per_cell=-28.4 crystal_system=trigonal pbc="T T T"
Ca 0.000 0.000 5.106
Ca 0.000 0.000 21.318
Zn 0.000 -1.517 10.932
Zn -1.314 0.759 10.932
Zn -1.314 -0.759 15.491
Zn 1.314 0.759 10.933
Zn 1.314 -0.759 15.491
Zn 0.000 1.517 15.491
Cu 0.000 0.000 0.000
Cu -1.324 -0.764 8.808
Cu -1.324 0.764 17.616
Cu 0.000 1.529 8.808